(A)
The following is a DFT calculation (SCAN) of TaBe2Cu at its PBEsol-relaxed geometry. Values from VASP.

Cell and atoms, written as Quantum ESPRESSO input:
```
&SYSTEM
  ibrav = 0, nat = 4, ntyp = 3
/
ATOMIC_SPECIES
Ta 180.95 Ta.upf
Be 9.01 Be.upf
Cu 63.55 Cu.upf
CELL_PARAMETERS angstrom
1.802 1.040 3.995
-1.802 1.040 3.995
0.000 -2.080 3.995
ATOMIC_POSITIONS angstrom
Ta 0.000 0.000 0.000
Be 0.000 0.000 2.534
Be 0.000 0.000 9.452
Cu 0.000 0.000 5.993
```

Calculated values
* DOS at the Fermi energy: 1.24 states/eV/cell



(B)
The following is a DFT calculation (SCAN) of TaBe2Cu at its PBEsol-relaxed geometry. Values from VASP.

Cell and atoms, written as Quantum ESPRESSO input:
```
&SYSTEM
  ibrav = 0, nat = 4, ntyp = 3
/
ATOMIC_SPECIES
Ta 180.95 Ta.upf
Be 9.01 Be.upf
Cu 63.55 Cu.upf
CELL_PARAMETERS angstrom
3.843 0.000 0.000
0.000 3.843 0.000
0.000 0.000 3.158
ATOMIC_POSITIONS angstrom
Ta 0.000 0.000 0.000
Be 0.000 1.922 1.579
Be 1.922 0.000 1.579
Cu 1.922 1.922 0.000
```

Calculated values
* DOS at the Fermi energy: 1.79 states/eV/cell



Here are the energies relative to the best structure, in kJ/mol of atoms: (A) 0.0; (B) 7.2.



(A)
The following is a DFT calculation (SCAN) of BeCu2Te at its PBEsol-relaxed geometry. Values from VASP.

Cell and atoms, written as Quantum ESPRESSO input:
```
&SYSTEM
  ibrav = 0, nat = 4, ntyp = 3
/
ATOMIC_SPECIES
Be 9.01 Be.upf
Cu 63.55 Cu.upf
Te 127.60 Te.upf
CELL_PARAMETERS angstrom
2.514 -3.053 0.000
2.514 3.053 0.000
0.000 0.000 3.784
ATOMIC_POSITIONS angstrom
Be 0.000 0.000 0.000
Cu 1.257 1.526 1.892
Cu 1.257 -1.526 1.892
Te 2.514 0.000 0.000
```

Calculated values
* DOS at the Fermi energy: 0.93 states/eV/cell



(B)
The following is a DFT calculation (SCAN) of BeCu2Te at its PBEsol-relaxed geometry. Values from VASP.

Cell and atoms, written as Quantum ESPRESSO input:
```
&SYSTEM
  ibrav = 0, nat = 4, ntyp = 3
/
ATOMIC_SPECIES
Be 9.01 Be.upf
Cu 63.55 Cu.upf
Te 127.60 Te.upf
CELL_PARAMETERS angstrom
3.674 0.000 0.000
0.000 3.674 0.000
0.000 0.000 4.256
ATOMIC_POSITIONS angstrom
Be 0.000 0.000 0.000
Cu 0.000 1.837 2.128
Cu 1.837 0.000 2.128
Te 1.837 1.837 0.000
```

Calculated values
* DOS at the Fermi energy: 1.43 states/eV/cell



(C)
The following is a DFT calculation (SCAN) of BeCu2Te at its PBEsol-relaxed geometry. Values from VASP.

Cell and atoms, written as Quantum ESPRESSO input:
```
&SYSTEM
  ibrav = 0, nat = 4, ntyp = 3
/
ATOMIC_SPECIES
Be 9.01 Be.upf
Cu 63.55 Cu.upf
Te 127.60 Te.upf
CELL_PARAMETERS angstrom
0.000 3.099 3.099
3.099 0.000 3.099
3.099 3.099 0.000
ATOMIC_POSITIONS angstrom
Be 0.000 0.000 0.000
Cu 3.099 3.099 3.099
Cu 4.648 4.648 4.648
Te 1.549 1.549 1.549
```

Calculated values
* DOS at the Fermi energy: 0.80 states/eV/cell



Here are the energies relative to the best structure, in kJ/mol of atoms: (A) 0.0; (B) 1.6; (C) 15.5.



(A)
The following is a DFT calculation (SCAN) of Be2TlCu at its PBEsol-relaxed geometry. Values from VASP.

Cell and atoms, written as Quantum ESPRESSO input:
```
&SYSTEM
  ibrav = 0, nat = 4, ntyp = 3
/
ATOMIC_SPECIES
Be 9.01 Be.upf
Tl 204.38 Tl.upf
Cu 63.55 Cu.upf
CELL_PARAMETERS angstrom
-1.892 1.892 3.652
1.892 -1.892 3.652
1.892 1.892 -3.652
ATOMIC_POSITIONS angstrom
Be 1.892 0.000 1.826
Be 0.000 1.892 1.826
Tl 0.000 0.000 0.000
Cu 0.000 0.000 3.652
```

Calculated values
* DOS at the Fermi energy: 1.10 states/eV/cell



(B)
The following is a DFT calculation (SCAN) of Be2TlCu at its PBEsol-relaxed geometry. Values from VASP.

Cell and atoms, written as Quantum ESPRESSO input:
```
&SYSTEM
  ibrav = 0, nat = 4, ntyp = 3
/
ATOMIC_SPECIES
Be 9.01 Be.upf
Tl 204.38 Tl.upf
Cu 63.55 Cu.upf
CELL_PARAMETERS angstrom
2.951 0.000 0.000
0.000 3.956 0.000
-0.735 0.000 4.841
ATOMIC_POSITIONS angstrom
Be 0.364 0.000 1.557
Be 1.852 0.000 3.284
Tl 0.000 1.978 0.000
Cu 1.108 1.978 2.420
```

Calculated values
* DOS at the Fermi energy: 0.91 states/eV/cell



Here are the energies relative to the best structure, in kJ/mol of atoms: (A) 2.1; (B) 0.0.



(A)
The following is a DFT calculation (SCAN) of Be2TlCu at its PBEsol-relaxed geometry. Values from VASP.

Cell and atoms, written as Quantum ESPRESSO input:
```
&SYSTEM
  ibrav = 0, nat = 4, ntyp = 3
/
ATOMIC_SPECIES
Be 9.01 Be.upf
Tl 204.38 Tl.upf
Cu 63.55 Cu.upf
CELL_PARAMETERS angstrom
0.000 2.956 2.956
2.956 0.000 2.956
2.956 2.956 0.000
ATOMIC_POSITIONS angstrom
Be 1.478 1.478 1.478
Be 4.434 4.434 4.434
Tl 0.000 0.000 0.000
Cu 2.956 2.956 2.956
```

Calculated values
* DOS at the Fermi energy: 1.03 states/eV/cell



(B)
The following is a DFT calculation (SCAN) of Be2TlCu at its PBEsol-relaxed geometry. Values from VASP.

Cell and atoms, written as Quantum ESPRESSO input:
```
&SYSTEM
  ibrav = 0, nat = 4, ntyp = 3
/
ATOMIC_SPECIES
Be 9.01 Be.upf
Tl 204.38 Tl.upf
Cu 63.55 Cu.upf
CELL_PARAMETERS angstrom
2.570 -4.145 0.000
2.570 4.145 0.000
-1.442 0.000 2.697
ATOMIC_POSITIONS angstrom
Be 1.285 2.072 0.000
Be 1.285 -2.072 0.000
Tl 0.000 0.000 0.000
Cu 2.570 0.000 0.000
```

Calculated values
* DOS at the Fermi energy: 0.95 states/eV/cell



Here are the energies relative to the best structure, in kJ/mol of atoms: (A) 0.0; (B) 7.6.



(A)
The following is a DFT calculation (SCAN) of BeCuW2 at its PBEsol-relaxed geometry. Values from VASP.

Cell and atoms, written as Quantum ESPRESSO input:
```
&SYSTEM
  ibrav = 0, nat = 4, ntyp = 3
/
ATOMIC_SPECIES
Be 9.01 Be.upf
Cu 63.55 Cu.upf
W 183.84 W.upf
CELL_PARAMETERS angstrom
2.702 0.000 0.000
0.000 4.007 0.000
-0.862 0.000 4.812
ATOMIC_POSITIONS angstrom
Be 0.000 0.000 0.000
Cu -0.024 2.003 1.196
W 0.467 2.003 3.782
W 1.348 0.000 2.343
```

Calculated values
* DOS at the Fermi energy: 2.06 states/eV/cell



(B)
The following is a DFT calculation (SCAN) of BeCuW2 at its PBEsol-relaxed geometry. Values from VASP.

Cell and atoms, written as Quantum ESPRESSO input:
```
&SYSTEM
  ibrav = 0, nat = 4, ntyp = 3
/
ATOMIC_SPECIES
Be 9.01 Be.upf
Cu 63.55 Cu.upf
W 183.84 W.upf
CELL_PARAMETERS angstrom
2.658 0.000 0.000
0.000 2.658 0.000
0.000 0.000 7.216
ATOMIC_POSITIONS angstrom
Be 0.000 0.000 0.000
Cu 0.000 0.000 3.608
W 1.329 1.329 1.645
W 1.329 1.329 5.571
```

Calculated values
* DOS at the Fermi energy: 1.93 states/eV/cell



(C)
The following is a DFT calculation (SCAN) of BeCuW2 at its PBEsol-relaxed geometry. Values from VASP.

Cell and atoms, written as Quantum ESPRESSO input:
```
&SYSTEM
  ibrav = 0, nat = 4, ntyp = 3
/
ATOMIC_SPECIES
Be 9.01 Be.upf
Cu 63.55 Cu.upf
W 183.84 W.upf
CELL_PARAMETERS angstrom
-1.807 1.807 4.005
1.807 -1.807 4.005
1.807 1.807 -4.005
ATOMIC_POSITIONS angstrom
Be 0.000 0.000 0.000
Cu 0.000 1.807 2.002
W 1.807 0.000 2.002
W 0.000 0.000 4.005
```

Calculated values
* DOS at the Fermi energy: 1.92 states/eV/cell



(D)
The following is a DFT calculation (SCAN) of BeCuW2 at its PBEsol-relaxed geometry. Values from VASP.

Cell and atoms, written as Quantum ESPRESSO input:
```
&SYSTEM
  ibrav = 0, nat = 4, ntyp = 3
/
ATOMIC_SPECIES
Be 9.01 Be.upf
Cu 63.55 Cu.upf
W 183.84 W.upf
CELL_PARAMETERS angstrom
0.000 2.944 2.944
2.944 0.000 2.944
2.944 2.944 0.000
ATOMIC_POSITIONS angstrom
Be 0.000 0.000 0.000
Cu 2.944 2.944 2.944
W 1.472 1.472 1.472
W 4.415 4.415 4.415
```

Calculated values
* DOS at the Fermi energy: 1.86 states/eV/cell



Here are the energies relative to the best structure, in kJ/mol of atoms: (A) 0.0; (B) 7.3; (C) 14.1; (D) 30.8.



(A)
The following is a DFT calculation (SCAN) of BeCuW at its PBEsol-relaxed geometry. Values from VASP.

Cell and atoms, written as Quantum ESPRESSO input:
```
&SYSTEM
  ibrav = 0, nat = 3, ntyp = 3
/
ATOMIC_SPECIES
Be 9.01 Be.upf
Cu 63.55 Cu.upf
W 183.84 W.upf
CELL_PARAMETERS angstrom
2.642 0.000 0.000
-1.321 2.288 0.000
0.000 0.000 6.177
ATOMIC_POSITIONS angstrom
Be 0.000 0.000 0.000
Cu 1.321 0.763 4.353
W 0.000 1.525 2.093
```

Calculated values
* DOS at the Fermi energy: 1.26 states/eV/cell



(B)
The following is a DFT calculation (SCAN) of BeCuW at its PBEsol-relaxed geometry. Values from VASP.

Cell and atoms, written as Quantum ESPRESSO input:
```
&SYSTEM
  ibrav = 0, nat = 3, ntyp = 3
/
ATOMIC_SPECIES
Be 9.01 Be.upf
Cu 63.55 Cu.upf
W 183.84 W.upf
CELL_PARAMETERS angstrom
0.000 2.794 2.794
2.794 0.000 2.794
2.794 2.794 0.000
ATOMIC_POSITIONS angstrom
Be 0.000 0.000 0.000
Cu 2.794 2.794 2.794
W 4.191 4.191 4.191
```

Calculated values
* DOS at the Fermi energy: 2.23 states/eV/cell



Here are the energies relative to the best structure, in kJ/mol of atoms: (A) 0.0; (B) 91.3.